Entry 1:
# ErTmGa4 | the Alexandria database | PBE | relaxed
data_ErTmGa4
_cell_length_a 7.733
_cell_length_b 7.733
_cell_length_c 7.733
_cell_angle_alpha 90.00
_cell_angle_beta 90.00
_cell_angle_gamma 90.00
_space_group_name_H-M_alt 'F -4 3 m'
_space_group_IT_number 216
_space_group_name_Hall 'F -4 2 3'
loop_
_atom_site_label
_atom_site_type_symbol
_atom_site_fract_x
_atom_site_fract_y
_atom_site_fract_z
_atom_site_occupancy
Er1 Er 0.000 0.000 0.000 1
Tm1 Tm 0.250 0.250 0.250 1
Ga1 Ga 0.125 0.125 0.625 1
# mass density = 8.8 g/cm³
# formation energy from the elements = -0.53 eV per atom

=====

Entry 2:
# ErTmGa3 | the Alexandria database | PBE | relaxed
data_ErTmGa3
_cell_length_a 4.111
_cell_length_b 25.408
_cell_length_c 4.140
_cell_angle_alpha 90.00
_cell_angle_beta 90.00
_cell_angle_gamma 90.00
_space_group_name_H-M_alt 'C m c m'
_space_group_IT_number 63
_space_group_name_Hall '-C 2c 2'
loop_
_atom_site_label
_atom_site_type_symbol
_atom_site_fract_x
_atom_site_fract_y
_atom_site_fract_z
_atom_site_occupancy
Er1 Er 0.000 0.073 0.250 1
Tm1 Tm 0.000 0.205 0.750 1
Ga1 Ga 0.000 0.323 0.750 1
Ga2 Ga 0.000 0.380 0.250 1
Ga3 Ga 0.000 0.476 0.250 1
# mass density = 8.4 g/cm³
# formation energy from the elements = -0.61 eV per atom

=====

Entry 3:
# Er3Tm3Ga4 | the Alexandria database | PBE | relaxed
data_Er3Tm3Ga4
_cell_length_a 4.235
_cell_length_b 10.746
_cell_length_c 10.731
_cell_angle_alpha 90.00
_cell_angle_beta 90.00
_cell_angle_gamma 90.00
_space_group_name_H-M_alt 'A m m 2'
_space_group_IT_number 38
loop_
_space_group_symop_operation_xyz
'x,y,z'
'-x,-y,z'
'-x,y,z'
'x,-y,z'
'x,y+1/2,z+1/2'
'-x,-y+1/2,z+1/2'
'-x,y+1/2,z+1/2'
'x,-y+1/2,z+1/2'
loop_
_atom_site_label
_atom_site_type_symbol
_atom_site_fract_x
_atom_site_fract_y
_atom_site_fract_z
_atom_site_occupancy
Er1 Er 0.000 0.000 0.000 1
Er2 Er 0.000 0.175 0.674 1
Tm1 Tm 0.000 0.000 0.349 1
Tm2 Tm 0.500 0.250 0.424 1
Ga1 Ga 0.500 0.000 0.553 1
Ga2 Ga 0.500 0.000 0.795 1
Ga3 Ga 0.500 0.121 0.175 1
# mass density = 8.8 g/cm³
# formation energy from the elements = -0.53 eV per atom

=====

Entry 4:
# Er2Tm8Ga | the Alexandria database | PBE | relaxed
data_Er2Tm8Ga
_cell_length_a 18.877
_cell_length_b 5.389
_cell_length_c 6.267
_cell_angle_alpha 90.00
_cell_angle_beta 94.59
_cell_angle_gamma 90.00
_space_group_name_H-M_alt 'C 1 2/m 1'
_space_group_IT_number 12
loop_
_space_group_symop_operation_xyz
'x,y,z'
'-x,-y,-z'
'-x,y,-z'
'x,-y,z'
'x+1/2,y+1/2,z'
'-x+1/2,-y+1/2,-z'
'-x+1/2,y+1/2,-z'
'x+1/2,-y+1/2,z'
loop_
_atom_site_label
_atom_site_type_symbol
_atom_site_fract_x
_atom_site_fract_y
_atom_site_fract_z
_atom_site_occupancy
Er1 Er 0.243 0.000 0.331 1
Tm1 Tm 0.043 0.000 0.257 1
Tm2 Tm 0.077 0.500 0.607 1
Tm3 Tm 0.156 0.000 0.806 1
Tm4 Tm 0.156 0.500 0.125 1
Ga1 Ga 0.000 0.500 0.000 1
# mass density = 9.2 g/cm³
# formation energy from the elements = -0.08 eV per atom

=====

Entry 5:
# Er2Tm3Ga4 | the Alexandria database | PBE | relaxed
data_Er2Tm3Ga4
_cell_length_a 6.782
_cell_length_b 15.261
_cell_length_c 8.544
_cell_angle_alpha 90.00
_cell_angle_beta 90.00
_cell_angle_gamma 90.00
_space_group_name_H-M_alt 'C m c e'
_space_group_IT_number 64
_space_group_name_Hall '-C 2ac 2'
loop_
_atom_site_label
_atom_site_type_symbol
_atom_site_fract_x
_atom_site_fract_y
_atom_site_fract_z
_atom_site_occupancy
Er1 Er 0.000 0.109 0.079 1
Tm1 Tm 0.000 0.000 0.500 1
Tm2 Tm 0.250 0.211 0.750 1
Ga1 Ga 0.000 0.191 0.460 1
Ga2 Ga 0.250 0.023 0.750 1
# mass density = 8.4 g/cm³
# formation energy from the elements = -0.39 eV per atom

=====

Entry 6:
# ErTm5Ga6 | the Alexandria database | PBE | relaxed
data_ErTm5Ga6
_cell_length_a 4.993
_cell_length_b 14.969
_cell_length_c 7.034
_cell_angle_alpha 90.00
_cell_angle_beta 90.00
_cell_angle_gamma 90.00
_space_group_name_H-M_alt 'C m m m'
_space_group_IT_number 65
_space_group_name_Hall '-C 2 2'
loop_
_atom_site_label
_atom_site_type_symbol
_atom_site_fract_x
_atom_site_fract_y
_atom_site_fract_z
_atom_site_occupancy
Er1 Er 0.000 0.000 0.000 1
Tm1 Tm 0.000 0.000 0.500 1
Tm2 Tm 0.000 0.333 0.000 1
Tm3 Tm 0.000 0.334 0.500 1
Ga1 Ga 0.000 0.167 0.251 1
Ga2 Ga 0.000 0.500 0.250 1
# mass density = 9.0 g/cm³
# formation energy from the elements = -0.57 eV per atom

=====

Entry 7:
# ErTm2Ga3 | the Alexandria database | PBE | relaxed
data_ErTm2Ga3
_cell_length_a 4.9893
_cell_length_b 4.9893
_cell_length_c 12.2353
_cell_angle_alpha 90.00
_cell_angle_beta 90.00
_cell_angle_gamma 120.00
_space_group_name_H-M_alt 'P -3 m 1'
_space_group_IT_number 164
_space_group_name_Hall '-P 3 2"'
loop_
_atom_site_label
_atom_site_type_symbol
_atom_site_fract_x
_atom_site_fract_y
_atom_site_fract_z
_atom_site_occupancy
Er1 Er 0.3333 0.6667 0.1667 1
Tm1 Tm 0.0000 0.0000 0.0000 1
Tm2 Tm 0.0000 0.0000 0.5000 1
Tm3 Tm 0.3333 0.6667 0.6661 1
Ga1 Ga 0.0000 0.0000 0.2505 1
Ga2 Ga 0.3333 0.6667 0.4170 1
Ga3 Ga 0.3333 0.6667 0.9164 1
# mass density = 9.0 g/cm³
# formation energy from the elements = -0.57 eV per atom

=====

Entry 8:
# ErTm3Ga2 | the Alexandria database | PBE | relaxed
data_ErTm3Ga2
_cell_length_a 4.855
_cell_length_b 9.340
_cell_length_c 6.536
_cell_angle_alpha 90.00
_cell_angle_beta 90.00
_cell_angle_gamma 90.00
_space_group_name_H-M_alt 'P m c 21'
_space_group_IT_number 26
loop_
_space_group_symop_operation_xyz
'x,y,z'
'-x,-y,z+1/2'
'-x,y,z'
'x,-y,z+1/2'
loop_
_atom_site_label
_atom_site_type_symbol
_atom_site_fract_x
_atom_site_fract_y
_atom_site_fract_z
_atom_site_occupancy
Er1 Er 0.000 0.049 0.000 1
Tm1 Tm 0.000 0.318 0.633 1
Tm2 Tm 0.500 0.183 0.292 1
Tm3 Tm 0.500 0.451 0.926 1
Ga1 Ga 0.000 0.362 0.174 1
Ga2 Ga 0.500 0.138 0.752 1
# mass density = 9.1 g/cm³
# formation energy from the elements = -0.43 eV per atom